[1]
Below is an optimized crystal structure of TcHgC, with properties calculated at the PBE-GGA level.

a b c (Å): 5.351 5.351 5.351
angles (deg): 149.17 125.18 64.22
Element x y z (fractional)
Hg 0.417 0.417 0.000
Tc 0.871 0.871 0.000
C 0.685 0.685 0.000

Properties
calculated total energy: -15.7 eV per cell
volume: 21.18 Å³/atom
total magnetic moment: 0.00 μB/atom

[2]
Below is an optimized crystal structure of TmThHg, with properties calculated at the PBE-GGA level.

a b c (Å): 5.136 5.136 5.136
angles (deg): 60.00 60.00 60.00
Element x y z (fractional)
Th 0.250 0.250 0.250
Tm 0.750 0.750 0.750
Hg 0.000 0.000 0.000

Properties
energy above the lowest structure with this stoichiometry: 0.000 eV per atom
calculated total energy: -11.9 eV per cell
volume: 31.93 Å³/atom
total magnetic moment: 0.32 μB/atom

[3]
Below is an optimized crystal structure of HfMg, with properties calculated at the PBE-GGA level.

a b c (Å): 5.846 12.209 4.943
angles (deg): 90.00 90.00 90.00
Element x y z (fractional)
Mg 0.960 0.758 0.000
Mg 0.960 0.992 0.000
Mg 0.517 0.628 0.000
Hf 0.596 0.375 0.000
Hf 0.053 0.253 0.000
Hf 0.053 0.497 0.000
Mg 0.816 0.622 0.500
Mg 0.373 0.492 0.500
Hf 0.738 0.875 0.500
Hf 0.281 0.997 0.500
Mg 0.517 0.122 0.000
Hf 0.891 0.375 0.500
Hf 0.442 0.875 0.000
Mg 0.373 0.258 0.500
Hf 0.281 0.753 0.500
Mg 0.816 0.128 0.500

Properties
calculated total energy: -89.5 eV per cell
volume: 22.05 Å³/atom
total magnetic moment: 0.00 μB/atom

[4]
Below is an optimized crystal structure of Gd2DyMg3Al2In, with properties calculated at the PBE-GGA level.

a b c (Å): 4.615 7.421 7.421
angles (deg): 119.81 90.00 90.00
Element x y z (fractional)
Dy 0.000 0.437 0.437
Mg 0.500 0.000 0.246
In 0.000 0.002 0.002
Mg 0.500 0.754 0.754
Al 0.500 0.334 0.666
Mg 0.500 0.246 0.000
Gd 0.000 0.563 0.000
Al 0.500 0.666 0.334
Gd 0.000 0.000 0.563

Properties
calculated total energy: -31.9 eV per cell
volume: 24.50 Å³/atom
total magnetic moment: 0.00 μB/atom

[5]
Below is an optimized crystal structure of NpInMo, with properties calculated at the PBE-GGA level.

a b c (Å): 4.662 4.662 4.662
angles (deg): 60.00 60.00 60.00
Element x y z (fractional)
Np 0.750 0.750 0.750
Mo 0.000 0.000 0.000
In 0.250 0.250 0.250

Properties
energy above the lowest structure with this stoichiometry: 0.000 eV per atom
calculated total energy: -24.2 eV per cell
volume: 23.89 Å³/atom
total magnetic moment: 0.96 μB/atom

[6]
Below is an optimized crystal structure of TlAg15, with properties calculated at the PBE-GGA level.

a b c (Å): 5.832 4.049 34.606
angles (deg): 90.00 90.08 90.00
Element x y z (fractional)
Ag 0.625 0.000 0.179
Ag 0.875 0.500 0.306
Tl 0.875 0.500 0.838
Ag 0.125 0.000 0.694
Ag 0.875 0.500 0.650
Ag 0.627 0.000 0.780
Ag 0.375 0.500 0.306
Ag 0.375 0.500 0.737
Ag 0.625 0.000 0.349
Ag 0.375 0.500 0.651
Ag 0.875 0.500 0.737
Ag 0.878 0.500 0.219
Ag 0.125 0.000 0.521
Ag 0.625 0.000 0.435
Tl 0.125 0.000 0.162
Ag 0.875 0.500 0.393
Ag 0.875 0.500 0.479
Ag 0.625 0.000 0.263
Ag 0.125 0.000 0.350
Ag 0.373 0.500 0.220
Ag 0.875 0.500 0.564
Ag 0.125 0.000 0.436
Ag 0.625 0.000 0.607
Ag 0.375 0.500 0.479
Ag 0.375 0.500 0.565
Ag 0.375 0.500 0.393
Ag 0.625 0.000 0.694
Ag 0.122 0.000 0.781
Ag 0.125 0.000 0.263
Ag 0.625 0.000 0.521
Ag 0.375 0.500 0.821
Ag 0.125 0.000 0.607

Properties
energy above the lowest structure with this stoichiometry: 0.019 eV per atom
calculated total energy: -87.6 eV per cell
volume: 25.53 Å³/atom

[7]
Below is an optimized crystal structure of AlPd2Au, with properties calculated at the PBE-GGA level.

a b c (Å): 4.455 4.455 4.455
angles (deg): 60.00 60.00 60.00
Element x y z (fractional)
Al 0.500 0.500 0.500
Pd 0.000 0.000 0.000
Pd 0.750 0.750 0.750
Au 0.250 0.250 0.250

Properties
calculated total energy: -19.2 eV per cell
volume: 15.63 Å³/atom

[8]
Below is an optimized crystal structure of Be2FeCo2Ge2Ir, with properties calculated at the PBE-GGA level.

a b c (Å): 3.962 3.962 5.628
angles (deg): 90.00 90.00 90.00
Element x y z (fractional)
Be 0.500 0.000 0.757
Co 0.000 0.000 0.500
Ir 0.500 0.500 0.500
Co 0.500 0.500 0.000
Ge 0.000 0.500 0.768
Be 0.000 0.500 0.243
Ge 0.500 0.000 0.232
Fe 0.000 0.000 0.000

Properties
calculated total energy: -50.4 eV per cell
volume: 11.04 Å³/atom
total magnetic moment: 0.00 μB/atom

[9]
Below is an optimized crystal structure of NaAg3Te4Mo, with properties calculated at the PBE-GGA level.

a b c (Å): 6.631 6.631 6.631
angles (deg): 90.00 90.00 90.00
Element x y z (fractional)
Te 0.232 0.232 0.768
Te 0.768 0.232 0.232
Ag 0.000 0.000 0.500
Te 0.768 0.768 0.768
Ag 0.000 0.500 0.000
Na 0.500 0.500 0.500
Te 0.232 0.768 0.232
Ag 0.500 0.000 0.000
Mo 0.000 0.000 0.000

Properties
calculated total energy: -34.3 eV per cell
volume: 32.39 Å³/atom
total magnetic moment: 0.22 μB/atom

[10]
Below is an optimized crystal structure of Y2InGaHg2, with properties calculated at the PBE-GGA level.

a b c (Å): 4.737 4.737 7.420
angles (deg): 90.00 90.00 120.00
Element x y z (fractional)
Hg 0.667 0.333 0.397
In 0.667 0.333 0.975
Y 0.000 0.000 0.683
Y 0.000 0.000 0.195
Ga 0.333 0.667 0.479
Hg 0.333 0.667 0.880

Properties
calculated total energy: -22.3 eV per cell
volume: 24.03 Å³/atom
total magnetic moment: 0.00 μB/atom

[11]
Below is an optimized crystal structure of NdErNp, with properties calculated at the PBE-GGA level.

a b c (Å): 5.213 5.213 5.213
angles (deg): 60.00 60.00 60.00
Element x y z (fractional)
Nd 0.000 0.000 0.000
Er 0.750 0.750 0.750
Np 0.250 0.250 0.250

Properties
energy above the lowest structure with this stoichiometry: 0.000 eV per atom
calculated total energy: -18.7 eV per cell
volume: 33.39 Å³/atom
total magnetic moment: 1.88 μB/atom

[12]
Below is an optimized crystal structure of PmHgPt, with properties calculated at the PBE-GGA level.

a b c (Å): 4.785 4.785 4.785
angles (deg): 60.00 60.00 60.00
Element x y z (fractional)
Pm 0.750 0.750 0.750
Pt 0.000 0.000 0.000
Hg 0.250 0.250 0.250

Properties
calculated total energy: -13.3 eV per cell
volume: 25.83 Å³/atom
total magnetic moment: 0.00 μB/atom